## LiNd2MnO5 (PBE+U)

Data for a relaxed structure of LiNd2MnO5.

Values from the calculation:
- Uncorrected energy: -0.5481 Ry/atom

```
LiNd2MnO5
1.0
1.731 -6.912 0.000
1.731 6.912 0.000
0.000 0.000 9.219
Li Nd Mn O
2 4 2 10
Direct
0.224 0.776 0.500 Li
0.776 0.224 0.000 Li
0.117 0.883 0.812 Nd
0.130 0.870 0.189 Nd
0.870 0.130 0.689 Nd
0.883 0.117 0.312 Nd
0.419 0.581 0.992 Mn
0.581 0.419 0.492 Mn
0.031 0.969 0.558 O
0.298 0.702 0.851 O
0.320 0.680 0.147 O
0.356 0.644 0.509 O
0.486 0.514 0.806 O
0.514 0.486 0.306 O
0.644 0.356 0.009 O
0.680 0.320 0.647 O
0.702 0.298 0.351 O
0.969 0.031 0.058 O
```